The following is a PBE calculation of crystalline Y2MoAu at its relaxed geometry, from Alexandria via LeMat-Bulk.

Cell lengths 9.978, 9.978, 9.978 Å; angles 19.42, 19.42, 19.42 degrees
Each line ends with the local moment (μB).
Fractional coordinates of all 4 atoms:
Au1 0.493 0.493 0.493  0.01
Mo1 0.757 0.757 0.757  0.19
Y1 0.013 0.013 0.013  0.00
Y2 0.238 0.238 0.238  -0.01

***

The following is a PBE calculation of crystalline Y2MoAu at its relaxed geometry, from Alexandria via LeMat-Bulk.

Cell lengths 7.968, 5.068, 3.507 Å; angles 89.93, 63.98, 129.36 degrees
Each line ends with the local moment (μB).
Fractional coordinates of all 4 atoms:
Au1 0.000 0.500 0.500  0.01
Mo1 0.500 0.500 0.000  0.92
Y1 0.000 0.000 0.000  0.04
Y2 0.500 0.000 0.500  0.04

***

The following is a PBE calculation of crystalline YMo2Au at its relaxed geometry, from Alexandria via LeMat-Bulk.

Cell lengths 5.271, 5.271, 4.761 Å; angles 63.21, 63.21, 42.18 degrees
Fractional coordinates of all 4 atoms:
Au1 0.746 0.746 0.754
Mo1 0.963 0.963 0.037
Mo2 0.275 0.275 0.225
Y1 0.517 0.517 0.484

***

The following is a PBE calculation of crystalline Y2MoAu at its relaxed geometry, from Alexandria via LeMat-Bulk.

Cell lengths 3.272, 4.642, 6.113 Å; angles 90.00, 90.00, 90.00 degrees
Fractional coordinates of all 4 atoms:
Au1 0.000 0.000 0.467
Mo1 0.500 0.500 0.789
Y1 0.000 0.000 0.945
Y2 0.500 0.500 0.299

***

| no. | total DFT energy (no corrections) (eV/cell) | offset from the most stable computed form (eV/atom) | energy of formation (eV per formula unit) |
| --- | --- | --- | --- |
| 1 | -25.63 | 0.521 | 1.40 |
| 2 | -27.43 | 0.073 | -0.39 |
| 3 | -30.78 | 0.153 | 0.63 |
| 4 | -26.59 | 0.281 | 0.45 |